Compound: Ca2YPuN4
Source: Alexandria via LeMat-Bulk
Functional: GGA-PBE
Structure: relaxed

It has space group P2/m (No. 10), with a = 5.972 Å, b = 3.504 Å, c = 6.014 Å, α = 90.00°, β = 108.71° and γ = 90.00°. Symmetry generates all atoms from Ca at (0.000, 0.000, 0.000), Ca at (0.500, 0.500, 0.000), Y at (0.000, 0.500, 0.500), Pu at (0.500, 0.000, 0.500), N at (0.266, 0.000, 0.714) and N at (0.267, 0.500, 0.277).

As for the magnetic moment: 3.000 μB/f.u. Its raw formation energy is -1.27 eV per atom.

---

Compound: Y2MnNi3As4
Source: Alexandria via LeMat-Bulk
Functional: GGA-PBE
Structure: relaxed

It has space group P-4m2 (No. 115), with a = 4.149 Å, b = 4.149 Å, c = 9.672 Å, α = 90.00°, β = 90.00° and γ = 90.00°. Symmetry generates all atoms from Y at (0.000, 0.500, 0.243), Mn at (0.000, 0.000, 0.500), Ni at (0.000, 0.500, 0.879), Ni at (0.500, 0.500, 0.500), As at (0.000, 0.000, 0.000), As at (0.000, 0.500, 0.637) and As at (0.500, 0.500, 0.000).

As for the magnetic moment: 3.190 μB/f.u. The calculation puts the total energy at -6.53 eV per atom.